UTaSi | GGA-PBE | optimized geometry

Results
The final energy comes out at -0.349 Ha/atom. The calculation puts the uncorrected formation energy at 0.022 eV/atom.

Unit cell a=5.565 b=5.565 c=5.565 alpha=144.79 beta=144.79 gamma=50.64
Atoms (fractional coordinates):
1 U 0.000 0.000 0.000
2 Ta 0.296 0.296 0.000
3 Si 0.687 0.687 0.000